Entry 1:
This record from the Open Quantum Materials Database describes SrAlGaAu2 after structural relaxation. The functional is PBE.

The structure in extended XYZ format:
```
10
Lattice="4.564 0.000 0.000 0.000 4.564 0.000 0.000 0.000 10.543" Properties=species:S:1:pos:R:3 pbc="T T T"
Sr 1.141 1.141 2.616
Sr 3.423 3.423 7.927
Al 1.141 1.141 6.566
Al 3.423 3.423 3.977
Ga 1.141 3.423 0.000
Ga 3.423 1.141 0.000
Au 1.141 1.141 9.114
Au 1.141 3.423 5.271
Au 3.423 1.141 5.271
Au 3.423 3.423 1.428
```

Density   8.7 Mg/m³
Excess energy over the best structure of this formula in the dataset   2.9 meV per atom
Crystal system   tetragonal
E_tot   -3.625 eV/atom

***

Entry 2:
This record from the Open Quantum Materials Database describes CdSb2H12O6F12 after structural relaxation. The functional is PBE.

The structure in extended XYZ format:
```
66
Lattice="5.040 0.000 0.000 0.000 14.027 0.000 0.000 0.000 8.356" Properties=species:S:1:pos:R:3 pbc="T T T"
Cd 0.000 0.000 0.000
Cd 2.520 7.014 4.178
Sb 0.752 4.780 0.000
Sb 1.768 11.794 4.178
Sb 3.272 2.234 4.178
Sb 4.289 9.247 0.000
H 0.325 5.544 3.407
H 0.325 5.544 4.949
H 0.842 2.162 1.595
H 0.842 2.162 6.761
H 1.206 0.851 2.380
H 1.206 0.851 5.976
H 1.314 7.865 1.798
H 1.314 7.865 6.558
H 1.678 9.175 2.583
H 1.678 9.175 5.773
H 2.195 12.558 0.771
H 2.195 12.558 7.585
H 2.845 1.470 0.771
H 2.845 1.470 7.585
H 3.362 4.852 2.583
H 3.362 4.852 5.773
H 3.726 6.163 1.798
H 3.726 6.163 6.558
H 3.834 13.176 2.380
H 3.834 13.176 5.976
H 4.198 11.866 1.595
H 4.198 11.866 6.761
H 4.716 8.483 3.407
H 4.716 8.483 4.949
O 0.946 5.508 4.178
O 1.252 8.291 2.678
O 1.252 8.291 5.678
O 1.268 1.277 1.500
O 1.268 1.277 6.856
O 1.574 12.522 0.000
O 3.466 1.505 0.000
O 3.772 12.750 1.500
O 3.772 12.750 6.856
O 3.788 5.737 2.678
O 3.788 5.737 5.678
O 4.094 8.519 4.178
F 0.039 3.628 1.356
F 0.039 3.628 7.000
F 0.157 10.818 4.178
F 0.873 8.227 0.000
F 1.101 12.955 2.814
F 1.101 12.955 5.541
F 1.419 5.942 1.364
F 1.419 5.942 6.992
F 1.647 1.214 4.178
F 2.363 3.805 0.000
F 2.481 10.642 2.822
F 2.481 10.642 5.534
F 2.559 3.386 2.822
F 2.559 3.386 5.534
F 2.677 10.223 0.000
F 3.393 12.814 4.178
F 3.621 8.086 1.364
F 3.621 8.086 6.992
F 3.940 1.072 2.814
F 3.940 1.072 5.541
F 4.168 5.800 0.000
F 4.884 3.209 4.178
F 5.001 10.399 1.356
F 5.001 10.399 7.000
```

Density   3.9 Mg/m³
Crystal system   orthorhombic
E_tot   -4.677 eV/atom

***

Entry 3:
This record from the Open Quantum Materials Database describes ErAgNO after structural relaxation. The functional is PBE.

The structure in extended XYZ format:
```
8
Lattice="3.876 0.000 0.000 0.000 6.153 0.000 0.000 0.000 5.638" Properties=species:S:1:pos:R:3 pbc="T T T"
Er 0.000 1.140 0.000
Er 0.000 5.013 2.819
Ag 1.938 2.160 2.840
Ag 1.938 3.992 0.021
N 1.938 1.972 4.964
N 1.938 4.181 2.145
O 0.000 0.847 2.105
O 0.000 5.306 4.924
```

Density   7.5 Mg/m³
Excess energy over the best structure of this formula in the dataset   158.0 meV per atom
Crystal system   orthorhombic
E_tot   -6.118 eV/atom

***

Entry 4:
This record from the Open Quantum Materials Database describes BaNbTc after structural relaxation. The functional is PBE.

The structure in extended XYZ format:
```
3
Lattice="0.000 3.363 3.363 3.363 0.000 3.363 3.363 3.363 0.000" Properties=species:S:1:pos:R:3 pbc="T T T"
Ba 0.000 0.000 0.000
Nb 3.363 3.363 3.363
Tc 1.682 1.682 1.682
```

Density   7.2 Mg/m³
Excess energy over the best structure of this formula in the dataset   0.0 meV per atom
Crystal system   cubic
E_tot   -6.312 eV/atom

***

Entry 5:
This record from the Open Quantum Materials Database describes Ac2Sm2O5 after structural relaxation. The functional is PBE.

The structure in extended XYZ format:
```
9
Lattice="4.483 0.000 0.000 0.000 4.483 0.000 0.000 0.000 8.232" Properties=species:S:1:pos:R:3 pbc="T T T"
Ac 0.000 0.000 0.000
Ac 0.000 0.000 4.116
Sm 2.242 2.242 1.930
Sm 2.242 2.242 6.303
O 0.000 2.242 2.092
O 0.000 2.242 6.140
O 2.242 0.000 2.092
O 2.242 0.000 6.140
O 2.242 2.242 4.116
```

Density   8.4 Mg/m³
Excess energy over the best structure of this formula in the dataset   0.0 meV per atom
Crystal system   tetragonal
E_tot   -7.434 eV/atom

***

Entry 6:
This record from the Open Quantum Materials Database describes Tm3AsSe2 after structural relaxation. The functional is PBE.

The structure in extended XYZ format:
```
6
Lattice="4.033 0.000 0.000 -2.016 3.493 0.000 0.000 0.000 9.840" Properties=species:S:1:pos:R:3 pbc="T T T"
Tm 0.000 0.000 0.000
Tm 0.000 2.328 3.353
Tm 2.016 1.164 6.488
As 0.000 0.000 4.920
Se 0.000 2.328 8.207
Se 2.016 1.164 1.633
```

Density   8.9 Mg/m³
Excess energy over the best structure of this formula in the dataset   12.7 meV per atom
Crystal system   trigonal
E_tot   -5.823 eV/atom

***

Entry 7:
This record from the Open Quantum Materials Database describes SrCdNiSe3 after structural relaxation. The functional is PBE.

The structure in extended XYZ format:
```
12
Lattice="2.040 -6.551 0.000 2.040 6.551 0.000 0.000 0.000 10.658" Properties=species:S:1:pos:R:3 pbc="T T T"
Sr 2.040 3.301 7.994
Sr 2.040 -3.301 2.665
Cd 0.000 0.000 0.000
Cd 0.000 0.000 5.329
Ni 2.040 0.393 2.665
Ni 2.040 -0.393 7.994
Se 2.040 5.674 2.665
Se 2.040 1.848 0.727
Se 2.040 1.848 4.602
Se 2.040 -1.848 6.056
Se 2.040 -1.848 9.931
Se 2.040 -5.674 7.994
```

Density   5.8 Mg/m³
Excess energy over the best structure of this formula in the dataset   0.0 meV per atom
Crystal system   orthorhombic
E_tot   -3.885 eV/atom

***

Entry 8:
This record from the Open Quantum Materials Database describes Cs3RbAg2Bi2 after structural relaxation. The functional is PBE.

The structure in extended XYZ format:
```
8
Lattice="7.165 0.000 0.000 0.000 6.819 0.000 -2.039 0.000 7.004" Properties=species:S:1:pos:R:3 pbc="T T T"
Cs 0.000 0.000 0.000
Cs -0.399 3.410 2.435
Cs 3.593 3.410 4.842
Rb 1.124 0.000 4.622
Ag 3.389 1.709 1.191
Ag 3.389 5.111 1.191
Bi 0.042 3.410 6.378
Bi 4.627 0.000 3.047
```

Density   5.4 Mg/m³
Crystal system   monoclinic
E_tot   -2.486 eV/atom

***

Entry 9:
This record from the Open Quantum Materials Database describes HfSi2Pd after structural relaxation. The functional is PBE.

The structure in extended XYZ format:
```
8
Lattice="3.629 0.000 0.000 0.000 4.977 0.000 0.000 0.000 7.278" Properties=species:S:1:pos:R:3 pbc="T T T"
Hf 0.000 0.565 0.000
Hf 0.000 4.413 3.639
Si 0.000 1.951 4.458
Si 0.000 3.027 0.819
Si 1.814 0.502 5.299
Si 1.814 4.475 1.660
Pd 1.814 1.937 2.331
Pd 1.814 3.040 5.970
```

Density   8.6 Mg/m³
Crystal system   orthorhombic
E_tot   -6.970 eV/atom

***

Entry 10:
This record from the Open Quantum Materials Database describes AcURe after structural relaxation. The functional is PBE.

The structure in extended XYZ format:
```
3
Lattice="0.000 3.473 3.473 3.473 0.000 3.473 3.473 3.473 0.000" Properties=species:S:1:pos:R:3 pbc="T T T"
Ac 0.000 0.000 0.000
U 3.473 3.473 3.473
Re 5.209 5.209 5.209
```

Formation enthalpy at 0 K   0.80 eV per atom
Density   12.9 Mg/m³
Excess energy over the best structure of this formula in the dataset   0.0 meV per atom
Crystal system   cubic
E_tot   -8.479 eV/atom

***

Entry 11:
This record from the Open Quantum Materials Database describes SrMg2Cu9 after structural relaxation. The functional is PBE.

The structure in extended XYZ format:
```
24
Lattice="5.093 0.000 0.000 -2.547 4.411 0.000 0.000 0.000 16.217" Properties=species:S:1:pos:R:3 pbc="T T T"
Sr 0.000 2.941 4.054
Sr 2.547 1.470 12.163
Mg 0.000 2.941 0.516
Mg 0.000 2.941 7.592
Mg 2.547 1.470 8.625
Mg 2.547 1.470 15.700
Cu 0.000 0.000 0.000
Cu 0.000 0.000 4.054
Cu 0.000 0.000 8.108
Cu 0.000 0.000 12.163
Cu 0.000 1.484 10.084
Cu 0.000 1.484 14.242
Cu -1.261 3.669 10.084
Cu -1.261 3.669 14.242
Cu 0.000 2.941 12.163
Cu 1.285 0.742 1.975
Cu 1.285 0.742 6.133
Cu 1.261 3.669 10.084
Cu 1.261 3.669 14.242
Cu 2.547 1.470 4.054
Cu 3.808 0.742 1.975
Cu 3.808 0.742 6.133
Cu 2.547 2.927 1.975
Cu 2.547 2.927 6.133
```

Density   6.5 Mg/m³
Crystal system   hexagonal
E_tot   -3.292 eV/atom

***

Entry 12:
This record from the Open Quantum Materials Database describes Zn2H10Cl4O5 after structural relaxation. The functional is PBE.

The structure in extended XYZ format:
```
84
Lattice="7.208 0.000 0.000 0.000 9.563 0.000 -3.657 0.000 14.353" Properties=species:S:1:pos:R:3 pbc="T T T"
Zn 0.315 2.183 2.097
Zn -1.514 2.599 9.274
Zn 2.076 6.967 2.186
Zn 0.248 7.377 9.362
Zn 3.303 2.186 4.991
Zn 1.474 2.596 12.167
Zn 5.064 6.964 5.079
Zn 3.236 7.380 12.256
H -1.392 1.497 5.609
H -3.221 3.285 12.785
H -2.192 6.480 8.734
H -0.364 7.865 1.557
H 0.870 5.231 4.052
H -0.953 5.655 11.193
H 0.876 8.689 4.017
H -0.958 9.114 11.228
H 1.946 5.506 0.002
H 0.118 8.839 7.179
H 0.239 5.659 7.302
H 2.068 8.685 0.126
H 0.686 0.307 8.221
H 2.515 4.475 1.045
H 0.511 5.137 10.714
H 2.340 9.207 3.537
H 2.068 6.071 4.635
H 0.239 8.274 11.812
H 0.020 1.392 13.988
H 1.849 3.390 6.811
H 1.702 6.173 7.542
H 3.530 8.171 0.365
H 3.311 1.289 2.541
H 1.483 3.492 9.718
H 1.211 0.355 10.816
H 3.039 4.426 3.639
H 1.036 5.088 13.308
H 2.864 9.256 6.132
H 1.483 0.878 14.227
H 3.311 3.904 7.051
H 3.433 0.724 7.174
H 1.604 4.057 14.351
H 4.509 0.449 3.125
H 2.675 0.874 10.336
H 4.503 3.908 3.160
H 2.680 4.332 10.302
H 3.914 1.698 12.796
H 5.743 3.083 5.619
H 6.771 6.278 1.568
H 4.943 8.066 8.744
Cl -2.709 5.492 12.494
Cl -0.881 8.853 5.317
Cl -0.828 5.164 5.538
Cl -2.656 9.181 12.715
Cl 0.877 2.104 4.318
Cl -0.952 2.677 11.494
Cl 2.264 2.306 0.949
Cl 0.436 2.476 8.126
Cl 3.115 7.087 6.227
Cl 1.286 7.257 13.404
Cl 4.502 6.886 2.859
Cl 2.674 7.459 10.036
Cl 6.207 0.382 1.638
Cl 4.378 4.399 8.815
Cl 4.431 0.710 9.036
Cl 6.260 4.071 1.859
O 0.157 7.042 1.393
O -1.672 7.302 8.569
O -0.108 5.909 10.755
O 1.720 8.435 3.578
O 2.466 5.440 0.843
O 0.638 8.904 8.020
O 1.766 5.581 3.822
O -0.062 8.764 10.998
O 0.884 5.895 8.018
O 2.713 8.450 0.841
O 0.838 1.113 13.512
O 2.666 3.668 6.335
O 3.613 0.799 3.355
O 1.784 3.982 10.531
O 2.913 0.659 6.333
O 1.084 4.122 13.510
O 1.830 1.128 10.775
O 3.659 3.654 3.598
O 5.222 2.261 5.784
O 3.394 2.521 12.960
```

Density   2.4 Mg/m³
Crystal system   monoclinic
E_tot   -4.305 eV/atom

***

Entry 13:
This record from the Open Quantum Materials Database describes ErSbN2O after structural relaxation. The functional is PBE.

The structure in extended XYZ format:
```
20
Lattice="5.564 0.000 0.000 2.774 4.942 0.000 2.779 1.444 9.201" Properties=species:S:1:pos:R:3 pbc="T T T"
Er 0.000 0.000 0.000
Er 2.437 1.620 2.277
Er 5.605 3.209 4.563
Er 8.043 4.780 6.865
Sb 2.710 1.564 5.621
Sb 5.303 3.073 8.050
Sb 5.447 3.384 1.129
Sb 8.212 4.807 3.481
N 3.331 3.263 4.682
N 3.993 4.567 1.926
N 3.963 1.791 7.210
N 6.799 5.154 4.926
N 6.068 1.445 9.063
N 6.811 3.597 2.600
N 6.766 1.244 4.284
N 6.720 2.021 0.297
O 4.756 4.784 6.906
O 6.748 4.368 8.811
O 4.721 1.644 2.224
O 6.767 2.841 6.602
```

Density   8.7 Mg/m³
Crystal system   triclinic
E_tot   -6.990 eV/atom

***

Entry 14:
This record from the Open Quantum Materials Database describes ZnIrOs2 after structural relaxation. The functional is PBE.

The structure in extended XYZ format:
```
4
Lattice="0.000 3.071 3.071 3.071 0.000 3.071 3.071 3.071 0.000" Properties=species:S:1:pos:R:3 pbc="T T T"
Zn 0.000 0.000 0.000
Ir 1.535 1.535 1.535
Os 3.071 3.071 3.071
Os 4.606 4.606 4.606
```

Formation enthalpy at 0 K   0.43 eV per atom
Density   18.3 Mg/m³
Crystal system   cubic
E_tot   -7.712 eV/atom

***

Entry 15:
This record from the Open Quantum Materials Database describes NaAcLu after structural relaxation. The functional is PBE.

The structure in extended XYZ format:
```
3
Lattice="0.000 3.901 3.901 3.901 0.000 3.901 3.901 3.901 0.000" Properties=species:S:1:pos:R:3 pbc="T T T"
Na 0.000 0.000 0.000
Ac 5.851 5.851 5.851
Lu 1.950 1.950 1.950
```

Density   5.9 Mg/m³
Excess energy over the best structure of this formula in the dataset   0.0 meV per atom
Crystal system   cubic
E_tot   -2.594 eV/atom

***

Entry 16:
This record from the Open Quantum Materials Database describes PmCdNi2 after structural relaxation. The functional is PBE.

The structure in extended XYZ format:
```
8
Lattice="5.096 0.000 0.000 0.000 4.035 0.000 0.000 0.000 7.203" Properties=species:S:1:pos:R:3 pbc="T T T"
Pm 1.274 0.000 1.631
Pm 3.822 0.000 5.572
Cd 1.274 2.018 6.139
Cd 3.822 2.018 1.064
Ni 0.000 2.018 3.602
Ni 1.274 0.000 4.314
Ni 2.548 2.018 3.602
Ni 3.822 0.000 2.889
```

Formation enthalpy at 0 K   -0.35 eV per atom
Density   8.4 Mg/m³
Crystal system   orthorhombic
E_tot   -4.544 eV/atom

***

Entry 17:
This record from the Open Quantum Materials Database describes BaYZr2 after structural relaxation. The functional is PBE.

The structure in extended XYZ format:
```
4
Lattice="4.259 0.000 0.000 0.000 4.259 0.000 0.000 0.000 8.340" Properties=species:S:1:pos:R:3 pbc="T T T"
Ba 0.000 0.000 0.000
Y 2.130 2.130 4.170
Zr 2.130 2.130 1.349
Zr 2.130 2.130 6.991
```

Density   4.5 Mg/m³
Crystal system   tetragonal
E_tot   -4.959 eV/atom